{
  "formula": "Na2B3C",
  "functional": "PBE",
  "state": "relaxed",
  "lattice_angstrom": [[7.954, -0.100, 0.000], [-7.423, 2.859, 0.000], [0.000, 0.000, 8.645]],
  "species": ["B", "B", "B", "B", "B", "B", "B", "B", "B", "C", "C", "C", "Na", "Na", "Na", "Na", "Na", "Na"],
  "fractional_positions": [[0.564, 0.436, 0.750], [0.451, 0.549, 0.750], [0.449, 0.551, 0.250], [0.874, 0.126, 0.750], [0.554, 0.446, 0.250], [0.772, 0.228, 0.250], [0.221, 0.779, 0.750], [0.880, 0.120, 0.250], [0.122, 0.878, 0.250], [0.117, 0.883, 0.750], [0.775, 0.225, 0.750], [0.221, 0.779, 0.250], [0.000, 0.000, 0.001], [0.000, 0.000, 0.499], [0.332, 0.668, 0.005], [0.667, 0.333, 0.501], [0.667, 0.333, 0.999], [0.332, 0.668, 0.495]],
  "e_tot_ev_per_cell": -92.95
}

=====

{
  "formula": "Na2B3C",
  "functional": "PBE",
  "state": "relaxed",
  "lattice_angstrom": [[-0.838, 2.650, 0.667], [-4.900, -1.348, -0.797], [-1.415, -4.613, 16.546]],
  "species": ["Na", "Na", "Na", "Na", "Na", "Na", "Na", "Na", "C", "C", "C", "C", "B", "B", "B", "B", "B", "B", "B", "B", "B", "B", "B", "B"],
  "fractional_positions": [[0.500, 0.497, 0.250], [0.500, 0.501, 0.747], [0.000, 0.002, 0.251], [0.000, 0.997, 0.504], [0.500, 0.503, 0.503], [0.000, 0.997, 0.997], [0.000, 0.999, 0.748], [0.500, 0.501, 0.999], [0.500, 0.834, 0.124], [0.000, 0.664, 0.873], [0.000, 0.336, 0.626], [0.500, 0.836, 0.626], [0.000, 0.672, 0.626], [0.000, 0.363, 0.873], [0.000, 0.346, 0.124], [0.500, 0.134, 0.124], [0.500, 0.835, 0.371], [0.500, 0.820, 0.873], [0.000, 0.678, 0.124], [0.500, 0.151, 0.873], [0.500, 0.172, 0.626], [0.000, 0.663, 0.371], [0.500, 0.162, 0.383], [0.000, 0.334, 0.383]],
  "e_tot_ev_per_cell": -123.49
}

=====

{
  "formula": "Na5B8C2",
  "functional": "PBE",
  "state": "relaxed",
  "lattice_angstrom": [[7.256, -0.032, -2.656], [5.471, 4.773, -2.656], [0.412, 0.154, 9.119]],
  "species": ["B", "B", "B", "B", "B", "B", "B", "B", "B", "B", "B", "B", "B", "B", "B", "B", "Na", "Na", "Na", "Na", "Na", "Na", "Na", "Na", "Na", "Na", "C", "C", "C", "C"],
  "fractional_positions": [[0.919, 0.570, 0.249], [0.486, 0.802, 0.750], [0.028, 0.671, 0.750], [0.091, 0.816, 0.251], [0.589, 0.907, 0.249], [0.728, 0.372, 0.250], [0.284, 0.009, 0.249], [0.619, 0.284, 0.751], [0.680, 0.020, 0.751], [0.417, 0.081, 0.750], [0.530, 0.181, 0.250], [0.193, 0.511, 0.250], [0.279, 0.638, 0.750], [0.897, 0.215, 0.750], [0.396, 0.704, 0.250], [0.062, 0.421, 0.750], [0.501, 0.498, 0.499], [0.602, 0.599, 0.001], [0.302, 0.298, 0.500], [0.801, 0.799, 0.000], [0.702, 0.699, 0.501], [0.999, 0.999, 0.997], [0.099, 0.101, 0.502], [0.901, 0.899, 0.500], [0.403, 0.397, 0.999], [0.201, 0.200, 0.002], [0.982, 0.313, 0.249], [0.809, 0.487, 0.749], [0.787, 0.119, 0.252], [0.213, 0.891, 0.750]],
  "e_tot_ev_per_cell": -150.84
}

=====

{
  "formula": "Na5B8C2",
  "functional": "PBE",
  "state": "relaxed",
  "lattice_angstrom": [[11.482, 0.177, -2.712], [11.092, 2.972, -2.712], [-0.473, -0.066, 10.133]],
  "species": ["Na", "Na", "Na", "Na", "Na", "Na", "Na", "Na", "Na", "Na", "B", "B", "B", "B", "B", "B", "B", "B", "B", "B", "B", "B", "B", "B", "B", "B", "C", "C", "C", "C"],
  "fractional_positions": [[0.000, 0.000, 0.000], [0.700, 0.700, 0.901], [0.399, 0.399, 0.800], [0.899, 0.899, 0.296], [0.601, 0.601, 0.201], [0.201, 0.201, 0.398], [0.299, 0.299, 0.099], [0.501, 0.501, 0.501], [0.101, 0.101, 0.704], [0.799, 0.799, 0.600], [0.416, 0.416, 0.083], [0.374, 0.374, 0.500], [0.589, 0.589, 0.925], [0.523, 0.523, 0.795], [0.086, 0.086, 0.421], [0.180, 0.180, 0.107], [0.628, 0.628, 0.504], [0.217, 0.217, 0.685], [0.917, 0.917, 0.586], [0.719, 0.719, 0.187], [0.785, 0.785, 0.320], [0.023, 0.023, 0.295], [0.809, 0.809, 0.868], [0.980, 0.980, 0.711], [0.480, 0.480, 0.209], [0.875, 0.875, 0.002], [0.278, 0.278, 0.807], [0.120, 0.120, 0.987], [0.686, 0.686, 0.623], [0.316, 0.316, 0.384]],
  "e_tot_ev_per_cell": -151.64
}

=====

{
  "formula": "Na5B8C2",
  "functional": "PBE",
  "state": "relaxed",
  "lattice_angstrom": [[13.303, -0.121, 0.000], [-12.981, 2.914, 0.000], [0.000, 0.000, 8.659]],
  "species": ["Na", "Na", "Na", "Na", "Na", "Na", "Na", "Na", "Na", "Na", "B", "B", "B", "B", "B", "B", "B", "B", "B", "B", "B", "B", "B", "B", "B", "B", "C", "C", "C", "C"],
  "fractional_positions": [[0.802, 0.198, 0.997], [0.599, 0.401, 0.499], [0.998, 0.002, 0.003], [0.400, 0.600, 0.000], [0.201, 0.799, 0.999], [0.400, 0.600, 0.500], [0.802, 0.198, 0.503], [0.998, 0.002, 0.497], [0.201, 0.799, 0.501], [0.599, 0.401, 0.001], [0.459, 0.541, 0.250], [0.066, 0.934, 0.250], [0.670, 0.330, 0.750], [0.673, 0.327, 0.250], [0.736, 0.264, 0.250], [0.274, 0.726, 0.750], [0.867, 0.133, 0.250], [0.933, 0.067, 0.750], [0.526, 0.474, 0.250], [0.522, 0.478, 0.750], [0.734, 0.266, 0.750], [0.130, 0.870, 0.250], [0.127, 0.873, 0.750], [0.341, 0.659, 0.750], [0.064, 0.936, 0.750], [0.278, 0.722, 0.250], [0.463, 0.537, 0.750], [0.337, 0.663, 0.250], [0.871, 0.129, 0.750], [0.929, 0.071, 0.250]],
  "e_tot_ev_per_cell": -151.68
}

=====

{
  "formula": "Na5B9C",
  "functional": "PBE",
  "state": "relaxed",
  "lattice_angstrom": [[8.675, 0.198, -3.012], [8.116, 3.069, -3.012], [-0.693, -0.135, 13.623]],
  "species": ["Na", "Na", "Na", "Na", "Na", "Na", "Na", "Na", "Na", "Na", "B", "B", "B", "B", "B", "B", "B", "B", "B", "B", "B", "B", "B", "B", "B", "B", "B", "B", "C", "C"],
  "fractional_positions": [[0.400, 0.400, 0.799], [0.999, 0.999, 0.501], [0.199, 0.199, 0.899], [0.598, 0.598, 0.699], [0.601, 0.601, 0.202], [0.800, 0.800, 0.101], [0.001, 0.001, 0.001], [0.801, 0.801, 0.598], [0.400, 0.400, 0.301], [0.201, 0.201, 0.400], [0.222, 0.222, 0.694], [0.834, 0.834, 0.417], [0.233, 0.233, 0.217], [0.766, 0.766, 0.283], [0.827, 0.827, 0.904], [0.764, 0.764, 0.777], [0.370, 0.370, 0.990], [0.434, 0.434, 0.617], [0.967, 0.967, 0.683], [0.974, 0.974, 0.198], [0.632, 0.632, 0.514], [0.041, 0.041, 0.332], [0.566, 0.566, 0.883], [0.166, 0.166, 0.084], [0.434, 0.434, 0.119], [0.034, 0.034, 0.818], [0.367, 0.367, 0.482], [0.634, 0.634, 0.018], [0.163, 0.163, 0.576], [0.571, 0.571, 0.392]],
  "e_tot_ev_per_cell": -144.28
}

=====

{
  "formula": "Na2B3C",
  "functional": "PBE",
  "state": "relaxed",
  "lattice_angstrom": [[7.015, -0.181, -2.551], [5.191, 4.723, -2.551], [0.517, 0.193, 9.085]],
  "species": ["B", "B", "B", "B", "B", "B", "B", "B", "B", "B", "B", "B", "B", "B", "B", "C", "C", "C", "C", "C", "Na", "Na", "Na", "Na", "Na", "Na", "Na", "Na", "Na", "Na"],
  "fractional_positions": [[0.523, 0.788, 0.750], [0.280, 0.020, 0.251], [0.503, 0.203, 0.250], [0.407, 0.702, 0.250], [0.712, 0.977, 0.751], [0.882, 0.225, 0.750], [0.598, 0.290, 0.750], [0.210, 0.901, 0.749], [0.275, 0.618, 0.749], [0.070, 0.430, 0.750], [0.597, 0.894, 0.250], [0.097, 0.798, 0.250], [0.730, 0.368, 0.250], [0.398, 0.103, 0.751], [0.931, 0.570, 0.250], [0.787, 0.110, 0.250], [0.011, 0.685, 0.750], [0.815, 0.489, 0.750], [0.989, 0.311, 0.251], [0.191, 0.513, 0.250], [0.398, 0.403, 0.000], [0.998, 0.999, 0.995], [0.602, 0.596, 0.994], [0.705, 0.695, 0.499], [0.196, 0.203, 0.999], [0.097, 0.103, 0.501], [0.802, 0.800, 0.003], [0.900, 0.901, 0.504], [0.500, 0.501, 0.504], [0.297, 0.304, 0.501]],
  "e_tot_ev_per_cell": -154.37
}

=====

{
  "formula": "Na4B5C3",
  "functional": "PBE",
  "state": "relaxed",
  "lattice_angstrom": [[-0.428, 2.788, 0.490], [-1.498, -1.342, -2.039], [-24.071, -7.698, 22.751]],
  "species": ["C", "C", "C", "C", "C", "C", "B", "B", "B", "B", "B", "B", "B", "B", "B", "B", "Na", "Na", "Na", "Na", "Na", "Na", "Na", "Na"],
  "fractional_positions": [[0.333, 0.667, 0.811], [0.667, 0.333, 0.688], [0.667, 0.333, 0.188], [0.667, 0.333, 0.441], [0.333, 0.667, 0.564], [0.667, 0.333, 0.934], [0.333, 0.667, 0.188], [0.667, 0.333, 0.564], [0.333, 0.667, 0.688], [0.667, 0.333, 0.061], [0.333, 0.667, 0.314], [0.333, 0.667, 0.440], [0.667, 0.333, 0.811], [0.333, 0.667, 0.061], [0.667, 0.333, 0.314], [0.333, 0.667, 0.935], [0.000, 0.000, 0.873], [0.000, 0.000, 0.626], [0.000, 0.000, 0.749], [0.000, 0.000, 0.125], [0.000, 0.000, 0.250], [0.000, 0.000, 0.997], [0.000, 0.000, 0.502], [0.000, 0.000, 0.378]],
  "e_tot_ev_per_cell": -130.34
}

=====

Magnetization (Bohr magnetons per cell)
0.054, 0.000, 0.000, 0.000, 0.000, 0.000, 0.000, 0.000